(1)
! KIr3Se, relaxed, DFT PBE; values from VASP
&SYSTEM
  ibrav = 0, nat = 5, ntyp = 3
/
ATOMIC_SPECIES
K 39.10 K.upf
Ir 192.22 Ir.upf
Se 78.96 Se.upf
CELL_PARAMETERS angstrom
4.7075 0.0000 0.0000
0.0000 4.7075 0.0000
0.0000 0.0000 4.7075
ATOMIC_POSITIONS angstrom
K 0.0000 0.0000 0.0000
Ir 0.0000 2.3537 2.3537
Ir 2.3537 0.0000 2.3537
Ir 2.3537 2.3537 0.0000
Se 2.3537 2.3537 2.3537
! Calculated volume ... 104.3 Å³ per cell
! ΔE to the lowest computed polymorph ... 0.0 meV per atom

***

(2)
! KIr2Se, relaxed, DFT PBE; values from VASP
&SYSTEM
  ibrav = 0, nat = 4, ntyp = 3
/
ATOMIC_SPECIES
K 39.10 K.upf
Ir 192.22 Ir.upf
Se 78.96 Se.upf
CELL_PARAMETERS angstrom
2.8360 0.0000 0.0000
0.0000 3.7762 0.0000
-1.4100 0.0000 7.8785
ATOMIC_POSITIONS angstrom
K 0.0000 0.0000 0.0000
Ir -0.0001 1.8881 5.2914
Ir 1.4174 0.0000 4.2518
Se 1.4179 1.8881 2.3598
! Energy ... -21.59 eV for the cell shown
! Calculated volume ... 84.4 Å³ per cell

***

(3)
! K2IrSe, relaxed, DFT PBE; values from VASP
&SYSTEM
  ibrav = 0, nat = 4, ntyp = 3
/
ATOMIC_SPECIES
K 39.10 K.upf
Ir 192.22 Ir.upf
Se 78.96 Se.upf
CELL_PARAMETERS angstrom
-2.2041 2.8515 4.8322
2.2041 -2.8515 4.8322
2.2041 2.8515 -4.8322
ATOMIC_POSITIONS angstrom
K 0.0000 0.0000 0.0000
K 0.0000 2.8515 1.7670
Ir 2.2041 0.0000 2.9396
Se 0.0000 0.0000 3.7257
! Energy ... -15.36 eV for the cell shown
! Calculated volume ... 121.5 Å³ per cell

***

(4)
! KIr2Se, relaxed, DFT PBE; values from VASP
&SYSTEM
  ibrav = 0, nat = 4, ntyp = 3
/
ATOMIC_SPECIES
K 39.10 K.upf
Ir 192.22 Ir.upf
Se 78.96 Se.upf
CELL_PARAMETERS angstrom
3.0362 0.0000 0.0000
0.0000 3.0362 0.0000
0.0000 0.0000 8.5363
ATOMIC_POSITIONS angstrom
K 0.0000 0.0000 0.0000
Ir 0.0000 0.0000 4.3500
Ir 1.5181 1.5181 5.9004
Se 1.5181 1.5181 2.6415
! Energy ... -20.85 eV for the cell shown
! Calculated volume ... 78.7 Å³ per cell

***

(5)
! K2IrSe, relaxed, DFT PBE; values from VASP
&SYSTEM
  ibrav = 0, nat = 4, ntyp = 3
/
ATOMIC_SPECIES
K 39.10 K.upf
Ir 192.22 Ir.upf
Se 78.96 Se.upf
CELL_PARAMETERS angstrom
3.0408 0.0000 0.0000
0.0000 3.0408 0.0000
0.0000 0.0000 10.1566
ATOMIC_POSITIONS angstrom
K 0.0000 0.0000 2.5428
K 0.0000 0.0000 7.6138
Ir 1.5204 1.5204 0.0000
Se 1.5204 1.5204 5.0783
! Energy ... -13.40 eV for the cell shown
! Calculated volume ... 93.9 Å³ per cell

***

(6)
! KIr2Se, relaxed, DFT PBE; values from VASP
&SYSTEM
  ibrav = 0, nat = 4, ntyp = 3
/
ATOMIC_SPECIES
K 39.10 K.upf
Ir 192.22 Ir.upf
Se 78.96 Se.upf
CELL_PARAMETERS angstrom
-1.9941 1.9941 4.6758
1.9941 -1.9941 4.6758
1.9941 1.9941 -4.6758
ATOMIC_POSITIONS angstrom
K 0.0000 0.0000 0.0000
Ir 1.9941 0.0000 2.3379
Ir 0.0000 1.9941 2.3379
Se 0.0000 0.0000 4.6758
! Energy ... -18.35 eV for the cell shown
! Calculated volume ... 74.4 Å³ per cell

***

(7)
! K4IrSe4, relaxed, DFT PBE; values from VASP
&SYSTEM
  ibrav = 0, nat = 9, ntyp = 3
/
ATOMIC_SPECIES
K 39.10 K.upf
Ir 192.22 Ir.upf
Se 78.96 Se.upf
CELL_PARAMETERS angstrom
-3.6678 3.6678 7.0902
3.6678 -3.6678 7.0902
3.6678 3.6678 -7.0902
ATOMIC_POSITIONS angstrom
K 3.6678 0.0000 0.0000
K 0.0000 0.0000 2.8071
K 0.0000 3.6678 0.0000
K 0.0000 0.0000 11.3734
Ir 0.0000 0.0000 7.0902
Se 1.2571 -1.2571 5.4477
Se 2.4107 2.4107 1.6425
Se -1.2571 1.2571 5.4477
Se 1.2571 1.2571 8.7327
! Energy ... -33.08 eV for the cell shown
! Calculated volume ... 381.5 Å³ per cell

***

(8)
! K3IrSe, relaxed, DFT PBE; values from VASP
&SYSTEM
  ibrav = 0, nat = 5, ntyp = 3
/
ATOMIC_SPECIES
K 39.10 K.upf
Ir 192.22 Ir.upf
Se 78.96 Se.upf
CELL_PARAMETERS angstrom
6.2192 0.0000 0.0000
0.0000 6.2192 0.0000
0.0000 0.0000 6.2192
ATOMIC_POSITIONS angstrom
K 0.0000 0.0000 3.1096
K 0.0000 3.1096 0.0000
K 3.1096 0.0000 0.0000
Ir 3.1096 3.1096 3.1096
Se 0.0000 0.0000 0.0000
! Calculated volume ... 240.5 Å³ per cell
! ΔE to the lowest computed polymorph ... 0.0 meV per atom

***

(9)
! KIr2Se4, relaxed, DFT PBE; values from VASP
&SYSTEM
  ibrav = 0, nat = 7, ntyp = 3
/
ATOMIC_SPECIES
K 39.10 K.upf
Ir 192.22 Ir.upf
Se 78.96 Se.upf
CELL_PARAMETERS angstrom
6.5266 0.0000 0.0000
0.0000 3.8398 0.0000
-2.2957 0.0000 7.4603
ATOMIC_POSITIONS angstrom
K 0.0000 0.0000 0.0000
Ir -1.1479 1.9199 3.7301
Ir 2.1154 0.0000 3.7301
Se -0.0626 0.0000 4.9715
Se 1.0497 1.9199 2.4888
Se 3.1812 1.9199 4.9715
Se 4.2934 0.0000 2.4888
! Energy ... -36.13 eV for the cell shown
! Calculated volume ... 187.0 Å³ per cell

***

(10)
! K2IrSe, relaxed, DFT PBE; values from VASP
&SYSTEM
  ibrav = 0, nat = 4, ntyp = 3
/
ATOMIC_SPECIES
K 39.10 K.upf
Ir 192.22 Ir.upf
Se 78.96 Se.upf
CELL_PARAMETERS angstrom
4.4198 0.0000 0.0000
0.0000 4.4485 0.0000
0.0000 0.0000 5.3136
ATOMIC_POSITIONS angstrom
K 0.0000 0.0000 1.3259
K 0.0000 0.0000 3.9877
Ir 2.2099 2.2243 0.0000
Se 2.2099 2.2243 2.6568
! Energy ... -13.56 eV for the cell shown
! Calculated volume ... 104.5 Å³ per cell

***

(11)
! KIr2Se, relaxed, DFT PBE; values from VASP
&SYSTEM
  ibrav = 0, nat = 4, ntyp = 3
/
ATOMIC_SPECIES
K 39.10 K.upf
Ir 192.22 Ir.upf
Se 78.96 Se.upf
CELL_PARAMETERS angstrom
2.8381 -5.0667 0.0000
2.8381 5.0667 0.0000
0.0000 0.0000 2.6445
ATOMIC_POSITIONS angstrom
K 0.0000 0.0000 0.0000
Ir 1.4191 2.5333 1.3222
Ir 1.4191 -2.5333 1.3222
Se 2.8381 0.0000 0.0000
! Energy ... -18.41 eV for the cell shown
! Calculated volume ... 76.1 Å³ per cell

***

(12)
! K2IrSe, relaxed, DFT PBE; values from VASP
&SYSTEM
  ibrav = 0, nat = 4, ntyp = 3
/
ATOMIC_SPECIES
K 39.10 K.upf
Ir 192.22 Ir.upf
Se 78.96 Se.upf
CELL_PARAMETERS angstrom
-2.1063 2.1063 5.0769
2.1063 -2.1063 5.0769
2.1063 2.1063 -5.0769
ATOMIC_POSITIONS angstrom
K 2.1063 0.0000 2.5385
K 0.0000 2.1063 2.5385
Ir 0.0000 0.0000 0.0000
Se 0.0000 0.0000 5.0769
! Energy ... -13.30 eV for the cell shown
! Calculated volume ... 90.1 Å³ per cell

***

(13)
! KSi2IrSe8, relaxed, DFT PBE; values from VASP
&SYSTEM
  ibrav = 0, nat = 12, ntyp = 4
/
ATOMIC_SPECIES
K 39.10 K.upf
Si 28.09 Si.upf
Ir 192.22 Ir.upf
Se 78.96 Se.upf
CELL_PARAMETERS angstrom
6.1522 0.0000 0.0000
-3.0761 5.3280 0.0000
0.0000 0.0000 9.7493
ATOMIC_POSITIONS angstrom
K 0.0000 0.0000 0.0000
Si 0.0000 3.5520 6.9696
Si 3.0761 1.7760 2.7797
Ir 0.0000 0.0000 4.8747
Se -1.8870 3.6648 3.4490
Se 0.8458 1.8614 3.4490
Se 0.0000 3.5520 9.2098
Se 2.0349 0.1982 6.3004
Se 1.0412 5.1298 3.4490
Se 3.0761 1.7760 0.5396
Se 2.2303 3.4666 6.3004
Se 4.9631 1.6632 6.3004
! Energy ... -52.07 eV for the cell shown
! Calculated volume ... 319.6 Å³ per cell

***

(14)
! KTa2IrSe, relaxed, DFT PBE; values from VASP
&SYSTEM
  ibrav = 0, nat = 5, ntyp = 4
/
ATOMIC_SPECIES
K 39.10 K.upf
Ta 180.95 Ta.upf
Ir 192.22 Ir.upf
Se 78.96 Se.upf
CELL_PARAMETERS angstrom
4.7433 0.0000 0.0000
0.0000 4.7433 0.0000
0.0000 0.0000 5.2239
ATOMIC_POSITIONS angstrom
K 0.0000 0.0000 0.0000
Ta 0.0000 2.3717 2.6119
Ta 2.3717 0.0000 2.6119
Ir 2.3717 2.3717 0.0000
Se 0.0000 0.0000 2.6119
! Energy ... -30.08 eV for the cell shown
! Calculated volume ... 117.5 Å³ per cell

***

(15)
! K3U3IrSe8, relaxed, DFT PBE; values from VASP
&SYSTEM
  ibrav = 0, nat = 15, ntyp = 4
/
ATOMIC_SPECIES
K 39.10 K.upf
U 238.03 U.upf
Ir 192.22 Ir.upf
Se 78.96 Se.upf
CELL_PARAMETERS angstrom
3.9871 2.3019 8.0842
-3.9871 2.3019 8.0842
0.0000 -4.6039 8.0842
ATOMIC_POSITIONS angstrom
K -1.9935 -1.1510 8.0842
K -1.9935 1.1510 16.1684
K 0.0000 2.3019 8.0842
U -3.9871 0.0000 12.1263
U -1.9935 1.1510 4.0421
U 1.9935 1.1510 4.0421
Ir 0.0000 0.0000 12.1263
Se 0.0000 0.0000 5.7682
Se -1.8304 -1.0568 13.6969
Se 0.0000 -2.1136 10.5557
Se -1.8304 1.0568 10.5557
Se 1.8304 -1.0568 13.6969
Se 0.0000 2.1136 13.6969
Se 1.8304 1.0568 10.5557
Se 0.0000 0.0000 18.4844
! Energy ... -89.31 eV for the cell shown
! Calculated volume ... 445.2 Å³ per cell

***

(16)
! KV2IrSe8, relaxed, DFT PBE; values from VASP
&SYSTEM
  ibrav = 0, nat = 12, ntyp = 4
/
ATOMIC_SPECIES
K 39.10 K.upf
V 50.94 V.upf
Ir 192.22 Ir.upf
Se 78.96 Se.upf
CELL_PARAMETERS angstrom
6.3367 0.0000 0.0000
-3.1684 5.4878 0.0000
0.0000 0.0000 9.3741
ATOMIC_POSITIONS angstrom
K 0.0000 0.0000 0.0000
V 0.0000 3.6585 6.8028
V 3.1684 1.8293 2.5713
Ir 0.0000 0.0000 4.6871
Se -2.0805 3.7521 3.2570
Se 0.9591 1.8099 3.2570
Se 2.0470 0.0743 6.1171
Se 0.0000 3.6585 9.0733
Se 3.1684 1.8293 0.3009
Se 1.1213 5.4134 3.2570
Se 2.2092 3.6778 6.1171
Se 5.2488 1.7356 6.1171
! Energy ... -60.54 eV for the cell shown
! Calculated volume ... 326.0 Å³ per cell

***

(17)
! KV2IrSe, relaxed, DFT PBE; values from VASP
&SYSTEM
  ibrav = 0, nat = 5, ntyp = 4
/
ATOMIC_SPECIES
K 39.10 K.upf
V 50.94 V.upf
Ir 192.22 Ir.upf
Se 78.96 Se.upf
CELL_PARAMETERS angstrom
4.4250 0.0000 0.0000
0.0000 4.4250 0.0000
0.0000 0.0000 5.1080
ATOMIC_POSITIONS angstrom
K 0.0000 0.0000 0.0000
V 0.0000 2.2125 0.0000
V 2.2125 0.0000 0.0000
Ir 2.2125 2.2125 2.5540
Se 0.0000 0.0000 2.5540
! Energy ... -19.44 eV for the cell shown
! Calculated volume ... 100.0 Å³ per cell

***

(18)
! K2SiIr, relaxed, DFT PBE; values from VASP
&SYSTEM
  ibrav = 0, nat = 4, ntyp = 3
/
ATOMIC_SPECIES
K 39.10 K.upf
Si 28.09 Si.upf
Ir 192.22 Ir.upf
CELL_PARAMETERS angstrom
3.4012 0.0000 0.0000
0.0000 5.0862 0.0000
0.0000 0.0000 5.3303
ATOMIC_POSITIONS angstrom
K 0.0000 1.2606 0.0000
K 0.0000 3.8256 0.0000
Si 1.7006 2.5431 2.6652
Ir 1.7006 0.0000 2.6652
! Energy ... -13.82 eV for the cell shown
! Calculated volume ... 92.2 Å³ per cell

***

(19)
! KSiIr, relaxed, DFT PBE; values from VASP
&SYSTEM
  ibrav = 0, nat = 3, ntyp = 3
/
ATOMIC_SPECIES
K 39.10 K.upf
Si 28.09 Si.upf
Ir 192.22 Ir.upf
CELL_PARAMETERS angstrom
3.9893 0.0000 0.0000
-1.9946 3.4548 0.0000
0.0000 0.0000 5.5159
ATOMIC_POSITIONS angstrom
K 0.0000 0.0000 0.0000
Si 1.9946 1.1516 2.7580
Ir 0.0000 2.3032 2.7580
! Calculated volume ... 76.0 Å³ per cell
! ΔE to the lowest computed polymorph ... 252.2 meV per atom

***

(20)
! KSi2Ir, relaxed, DFT PBE; values from VASP
&SYSTEM
  ibrav = 0, nat = 4, ntyp = 3
/
ATOMIC_SPECIES
K 39.10 K.upf
Si 28.09 Si.upf
Ir 192.22 Ir.upf
CELL_PARAMETERS angstrom
-2.0250 3.2081 3.9901
2.0250 -3.2081 3.9901
2.0250 3.2081 -3.9901
ATOMIC_POSITIONS angstrom
K 0.0000 0.0000 0.0000
Si 2.0250 0.0000 2.7913
Si 0.0000 3.2081 1.1988
Ir 0.0000 0.0000 3.9901
! Calculated volume ... 103.7 Å³ per cell
! ΔE to the lowest computed polymorph ... 497.5 meV per atom